Entry 1:
La2TlMo | PBE-GGA | relaxed

a = 8.4889 Å, b = 8.4889 Å, c = 6.1944 Å
α = 90.00°, β = 90.00°, γ = 90.00°
With the nearest neighbours (Å) after each atom.
Positions (direct):
La 0.1879 0.2500 0.1250  2 Mo 2.77
La 0.2500 0.6879 0.3750  2 Mo 2.77
La 0.2500 0.8121 0.8750  2 Mo 2.77
La 0.3121 0.2500 0.6250  2 Mo 2.77
La 0.6879 0.7500 0.6250  2 Mo 2.77
La 0.7500 0.1879 0.8750  2 Mo 2.77
La 0.7500 0.3121 0.3750  2 Mo 2.77
La 0.8121 0.7500 0.1250  2 Mo 2.77
Tl 0.0000 0.0000 0.5000  2 Mo 3.10
Tl 0.0000 0.5000 0.7500  2 Mo 3.10
Tl 0.5000 0.0000 0.2500  2 Mo 3.10
Tl 0.5000 0.5000 0.0000  2 Mo 3.10
Mo 0.0000 0.0000 0.0000  4 La 2.77, 2 Tl 3.10
Mo 0.0000 0.5000 0.2500  4 La 2.77, 2 Tl 3.10
Mo 0.5000 0.0000 0.7500  4 La 2.77, 2 Tl 3.10
Mo 0.5000 0.5000 0.5000  4 La 2.77, 2 Tl 3.10

Total magnetic moment (μB/cell): 0.0
ΔE_f (eV/atom): 0.390
Crystal system: tetragonal

---

Entry 2:
TbGdSe2 | PBE-GGA | relaxed

a = 4.1195 Å, b = 4.1195 Å, c = 20.0769 Å
α = 90.00°, β = 90.00°, γ = 120.00°
With the nearest neighbours (Å) after each atom.
Positions (direct):
Tb 0.0000 0.0000 0.0000  6 Se 2.90
Tb 0.3333 0.6667 0.6667  6 Se 2.90
Tb 0.6667 0.3333 0.3333  6 Se 2.90
Gd 0.0000 0.0000 0.5000  6 Se 2.92
Gd 0.3333 0.6667 0.1667  6 Se 2.92
Gd 0.6667 0.3333 0.8333  6 Se 2.92
Se 0.0000 0.0000 0.2507  3 Tb 2.90, 3 Gd 2.92
Se 0.0000 0.0000 0.7493  3 Tb 2.90, 3 Gd 2.92
Se 0.3333 0.6667 0.4160  3 Tb 2.90, 3 Gd 2.92
Se 0.3333 0.6667 0.9174  3 Tb 2.90, 3 Gd 2.92
Se 0.6667 0.3333 0.0826  3 Tb 2.90, 3 Gd 2.92
Se 0.6667 0.3333 0.5840  3 Tb 2.90, 3 Gd 2.92

Total magnetic moment (μB/cell): 20.5
ΔE_f (raw) (eV per formula unit): -7.28
Crystal system: trigonal

---

Entry 3:
TbY3Au2 | PBE-GGA | relaxed

a = 4.9904 Å, b = 8.9976 Å, c = 7.1291 Å
α = 90.00°, β = 90.00°, γ = 90.00°
With the nearest neighbours (Å) after each atom.
Positions (direct):
Tb 0.0000 0.0752 0.0000  3 Au 2.95-3.16
Tb 0.0000 0.9248 0.5000  3 Au 2.95-3.16
Y 0.0000 0.3312 0.6359  4 Au 2.91-3.07
Y 0.0000 0.6688 0.1359  4 Au 2.91-3.07
Y 0.5000 0.1676 0.3384  4 Au 2.91-3.08
Y 0.5000 0.4272 0.9746  3 Au 2.96-3.16
Y 0.5000 0.5728 0.4746  3 Au 2.96-3.16
Y 0.5000 0.8324 0.8384  4 Au 2.91-3.08
Au 0.0000 0.3486 0.2284  6 Y 2.91-3.16, 1 Tb 2.95
Au 0.0000 0.6514 0.7284  6 Y 2.91-3.16, 1 Tb 2.95
Au 0.5000 0.1528 0.7467  5 Y 2.91-3.07, 2 Tb 3.16
Au 0.5000 0.8472 0.2467  5 Y 2.91-3.07, 2 Tb 3.16

Total magnetic moment (μB/cell): 0.0
ΔE_f (eV/atom): -0.640
Crystal system: orthorhombic

---

Computed Fermi-level density of states (states/eV/cell) in order:
21.5; 6.5; 12.3